First-principles (PBE) data for a relaxed structure of SiAg, as listed in the Alexandria database.

Output
ρ, g/cm³: 4.800
Crystal system: cubic
Energy relative to the elements, uncorrected, eV/f.u.: 1.56
Energy above the lowest structure with this stoichiometry, eV per atom: 0.559
Symmetry: F-43m

Unit cell a=4.0518 b=4.0518 c=4.0518 alpha=60.00 beta=60.00 gamma=60.00
Fractional positions:
1 Si 0.0000 0.0000 0.0000
2 Ag 0.2500 0.2500 0.2500